No. 1
VASP calculation (PBE) on an optimized crystal structure of Pa5Se4S.

Cell: 4.041 4.041 28.572 Å, 90.00 90.00 90.00°
Space group I4/mmm (No. 139)
One atom of each set of equivalent atoms:
Pa (0.000, 0.000, 0.000)
Pa (0.000, 0.000, 0.201)
Pa (0.000, 0.000, 0.404)
Se (0.000, 0.000, 0.101)
Se (0.000, 0.000, 0.303)
S (0.000, 0.000, 0.500)

Computed properties:
E_form (uncorrected): -1.2646 eV per atom
Excess energy over the best structure of this formula in the dataset: 0.010 eV per atom
E_tot: -7.8191 eV/atom


No. 2
VASP calculation (PBE) on an optimized crystal structure of Pr6Br12N.

Cell: 10.4175 10.4175 18.4367 Å, 90.00 90.00 120.00°
Space group R-3m (No. 166, hexagonal axes)
One atom of each set of equivalent atoms:
Pr (0.0653, 0.5326, 0.2491)
Br (0.0310, 0.5155, 0.9045)
Br (0.0809, 0.5404, 0.5940)
N (0.0000, 0.0000, 0.5000)

Computed properties:
E_form (uncorrected): -1.5208 eV per atom
E_tot: -4.5248 eV/atom


No. 3
VASP calculation (PBE) on an optimized crystal structure of SrTlCuAg2.

Cell: 5.295 5.295 6.310 Å, 90.00 90.00 90.00°
Space group P4/mmm (No. 123)
One atom of each set of equivalent atoms:
Sr (0.000, 0.000, 0.000)
Tl (0.000, 0.000, 0.500)
Cu (0.500, 0.500, 0.000)
Ag (0.000, 0.500, 0.500)

Computed properties:
E_tot: -2.1203 eV/atom
ΔE_f: 0.65 eV/atom